## NaSb3O (PBE)

Data for a relaxed structure of NaSb3O.

```
NaSb3O
1.0
4.867 0.000 0.000
0.000 4.867 0.000
0.000 0.000 4.867
Na Sb O
1 3 1
direct
0.000 0.000 0.000
0.000 0.500 0.500
0.500 0.000 0.500
0.500 0.500 0.000
0.500 0.500 0.500
```

Electronic total energy: -3.8977 eV/atom
Calculated volume: 23.061 Å³ per atom
Symmetry: Pm-3m, No. 221

***

## NaSc2SbO6 (PBE)

Data for a relaxed structure of NaSc2SbO6.

```
NaSc2SbO6
1.0
2.719 1.570 4.906
-2.719 1.570 4.906
0.000 -3.140 4.906
Na Sc Sb O
1 2 1 6
direct
0.000 0.000 0.000
0.274 0.274 0.274
0.781 0.781 0.781
0.477 0.477 0.477
0.085 0.638 0.431
0.211 0.549 0.863
0.431 0.085 0.638
0.549 0.863 0.211
0.638 0.431 0.085
0.863 0.211 0.549
```

Electronic total energy: -7.3291 eV/atom
Calculated volume: 12.568 Å³ per atom
Symmetry: R3, No. 146

***

## Na2Sc4Sb3O2 (PBE)

Data for a relaxed structure of Na2Sc4Sb3O2.

```
Na2Sc4Sb3O2
1.0
-2.191 2.191 12.414
2.191 -2.191 12.414
2.191 2.191 -12.414
Na Sc Sb O
2 4 3 2
direct
0.202 0.202 0.000
0.798 0.798 0.000
0.085 0.585 0.500
0.415 0.915 0.500
0.585 0.085 0.500
0.915 0.415 0.500
0.333 0.333 0.000
0.500 0.500 0.000
0.667 0.667 0.000
0.084 0.084 0.000
0.916 0.916 0.000
```

Electronic total energy: -6.1149 eV/atom
Calculated volume: 21.661 Å³ per atom
Symmetry: I4/mmm, No. 139

***

## NaSbSeO (PBE)

Data for a relaxed structure of NaSbSeO.

```
NaSbSeO
1.0
6.937 0.000 0.000
0.000 3.659 0.000
-2.284 0.000 6.434
Na Sb Se O
2 2 2 2
direct
0.000 0.000 0.000
0.500 0.500 0.000
0.429 0.000 0.399
0.929 0.500 0.399
0.231 0.000 0.677
0.731 0.500 0.677
0.271 0.500 0.226
0.771 0.000 0.226
```

Electronic total energy: -4.3511 eV/atom
Calculated volume: 20.413 Å³ per atom
Symmetry: Cm, No. 8

***

## NaSbSe2O8 (PBE)

Data for a relaxed structure of NaSbSe2O8.

```
NaSbSe2O8
1.0
2.622 1.514 7.825
-2.622 1.514 7.825
0.000 -3.028 7.825
Na Sb Se O
1 1 2 8
direct
0.000 0.000 0.000
0.500 0.500 0.500
0.251 0.251 0.251
0.749 0.749 0.749
0.077 0.776 0.470
0.224 0.530 0.923
0.321 0.321 0.321
0.470 0.077 0.776
0.530 0.923 0.224
0.679 0.679 0.679
0.776 0.470 0.077
0.923 0.224 0.530
```

Electronic total energy: -5.2363 eV/atom
Calculated volume: 15.533 Å³ per atom
Symmetry: R-3, No. 148

***

## NaSiSbO6 (PBE)

Data for a relaxed structure of NaSiSbO6.

```
NaSiSbO6
1.0
5.057 0.000 0.000
-2.528 4.379 0.000
0.000 0.000 10.292
Na Si Sb O
2 2 2 12
direct
0.000 0.000 0.000
0.000 0.000 0.500
0.333 0.667 0.250
0.667 0.333 0.750
0.333 0.667 0.750
0.667 0.333 0.250
0.034 0.381 0.151
0.034 0.653 0.349
0.347 0.381 0.349
0.347 0.966 0.151
0.381 0.034 0.651
0.381 0.347 0.849
0.619 0.653 0.151
0.619 0.966 0.349
0.653 0.034 0.849
0.653 0.619 0.651
0.966 0.347 0.651
0.966 0.619 0.849
```

Electronic total energy: -6.0081 eV/atom
Calculated volume: 12.664 Å³ per atom
Symmetry: P-31c, No. 163

***

## NaSi2SbO6 (PBE)

Data for a relaxed structure of NaSi2SbO6.

```
NaSi2SbO6
1.0
5.264 -4.756 0.000
5.264 4.756 0.000
-1.482 0.000 5.199
Na Si Sb O
2 4 2 12
direct
0.095 0.905 0.750
0.905 0.095 0.250
0.178 0.366 0.759
0.366 0.178 0.259
0.634 0.822 0.741
0.822 0.634 0.241
0.288 0.712 0.250
0.712 0.288 0.750
0.016 0.761 0.329
0.140 0.595 0.854
0.239 0.984 0.171
0.280 0.323 0.501
0.323 0.280 0.001
0.405 0.860 0.646
0.595 0.140 0.354
0.677 0.720 0.999
0.720 0.677 0.499
0.761 0.016 0.829
0.860 0.405 0.146
0.984 0.239 0.671
```

Electronic total energy: -6.8808 eV/atom
Calculated volume: 13.013 Å³ per atom
Symmetry: C2/c, No. 15

***

## Na2SmSbO4 (PBE)

Data for a relaxed structure of Na2SmSbO4.

```
Na2SmSbO4
1.0
5.974 0.000 0.000
0.000 3.498 0.000
-2.016 0.000 5.705
Na Sm Sb O
2 1 1 4
direct
0.000 0.000 0.000
0.000 0.500 0.500
0.500 0.000 0.500
0.500 0.500 0.000
0.277 0.000 0.757
0.284 0.500 0.261
0.716 0.500 0.739
0.723 0.000 0.243
```

Electronic total energy: -5.8896 eV/atom
Calculated volume: 14.902 Å³ per atom
Symmetry: P2/m, No. 10

***

## NaSm2SbO5 (PBE)

Data for a relaxed structure of NaSm2SbO5.

```
NaSm2SbO5
1.0
6.741 0.000 0.000
0.000 6.741 0.000
0.000 0.000 6.268
Na Sm Sb O
2 4 2 10
direct
0.000 0.000 0.000
0.500 0.500 0.000
0.177 0.323 0.500
0.323 0.823 0.500
0.677 0.177 0.500
0.823 0.677 0.500
0.000 0.500 0.000
0.500 0.000 0.000
0.000 0.000 0.500
0.143 0.643 0.261
0.143 0.643 0.739
0.357 0.143 0.261
0.357 0.143 0.739
0.500 0.500 0.500
0.643 0.857 0.261
0.643 0.857 0.739
0.857 0.357 0.261
0.857 0.357 0.739
```

Electronic total energy: -6.6543 eV/atom
Calculated volume: 15.823 Å³ per atom
Symmetry: P4/mbm, No. 127

***

## Na3Sm3SbO8 (PBE)

Data for a relaxed structure of Na3Sm3SbO8.

```
Na3Sm3SbO8
1.0
3.490 2.015 5.618
-3.490 2.015 5.618
0.000 -4.030 5.618
Na Sm Sb O
3 3 1 8
direct
0.000 0.500 0.500
0.500 0.000 0.500
0.500 0.500 0.000
0.000 0.000 0.500
0.000 0.500 0.000
0.500 0.000 0.000
0.500 0.500 0.500
0.237 0.237 0.237
0.263 0.719 0.719
0.281 0.281 0.737
0.281 0.737 0.281
0.719 0.263 0.719
0.719 0.719 0.263
0.737 0.281 0.281
0.763 0.763 0.763
```

Electronic total energy: -6.5247 eV/atom
Calculated volume: 15.805 Å³ per atom
Symmetry: R-3m, No. 166

***

## Na2Sm4Sb3O2 (PBE)

Data for a relaxed structure of Na2Sm4Sb3O2.

```
Na2Sm4Sb3O2
1.0
-2.413 2.413 12.684
2.413 -2.413 12.684
2.413 2.413 -12.684
Na Sm Sb O
2 4 3 2
direct
0.202 0.202 0.000
0.798 0.798 0.000
0.088 0.588 0.500
0.412 0.912 0.500
0.588 0.088 0.500
0.912 0.412 0.500
0.329 0.329 0.000
0.500 0.500 0.000
0.671 0.671 0.000
0.090 0.090 0.000
0.910 0.910 0.000
```

Electronic total energy: -5.5136 eV/atom
Calculated volume: 26.853 Å³ per atom
Symmetry: I4/mmm, No. 139

***

## Na2SnSbO6 (PBE)

Data for a relaxed structure of Na2SnSbO6.

```
Na2SnSbO6
1.0
5.561 0.000 0.000
0.000 5.641 0.000
-5.559 0.000 7.916
Na Sn Sb O
4 2 2 12
direct
0.243 0.034 0.250
0.243 0.466 0.750
0.757 0.534 0.250
0.757 0.966 0.750
0.000 0.000 0.500
0.000 0.500 0.000
0.500 0.000 0.000
0.500 0.500 0.500
0.167 0.201 0.957
0.167 0.299 0.457
0.256 0.711 0.955
0.256 0.789 0.455
0.341 0.026 0.755
0.341 0.474 0.255
0.659 0.526 0.745
0.659 0.974 0.245
0.744 0.211 0.545
0.744 0.289 0.045
0.833 0.701 0.543
0.833 0.799 0.043
```

Electronic total energy: -5.4827 eV/atom
Calculated volume: 12.415 Å³ per atom
Symmetry: P2_1/c, No. 14

***

## Na2SnSbO (PBE)

Data for a relaxed structure of Na2SnSbO.

```
Na2SnSbO
1.0
4.562 0.000 0.000
0.000 4.562 0.000
0.000 0.000 4.877
Na Sn Sb O
2 1 1 1
direct
0.000 0.500 0.000
0.500 0.000 0.000
0.000 0.000 0.500
0.500 0.500 0.500
0.000 0.000 0.000
```

Electronic total energy: -3.8786 eV/atom
Calculated volume: 20.303 Å³ per atom
Symmetry: P4/mmm, No. 123

***

## NaSr2SbO (PBE)

Data for a relaxed structure of NaSr2SbO.

```
NaSr2SbO
1.0
5.121 0.000 0.000
0.000 5.121 0.000
0.000 0.000 4.804
Na Sr Sb O
1 2 1 1
direct
0.000 0.000 0.000
0.000 0.500 0.500
0.500 0.000 0.500
0.500 0.500 0.000
0.000 0.000 0.500
```

Electronic total energy: -4.3268 eV/atom
Calculated volume: 25.198 Å³ per atom
Symmetry: P4/mmm, No. 123

***

## Na2Sr2SbO6 (PBE)

Data for a relaxed structure of Na2Sr2SbO6.

```
Na2Sr2SbO6
1.0
3.102 -5.368 0.000
3.102 5.368 0.000
-1.542 0.000 5.745
Na Sr Sb O
2 2 1 6
direct
0.133 0.867 0.000
0.867 0.133 0.000
0.340 0.660 0.500
0.660 0.340 0.500
0.000 0.000 0.500
0.035 0.318 0.693
0.217 0.217 0.299
0.318 0.035 0.693
0.682 0.965 0.307
0.783 0.783 0.701
0.965 0.682 0.307
```

Electronic total energy: -5.5217 eV/atom
Calculated volume: 17.392 Å³ per atom
Symmetry: C2/m, No. 12

***

## NaSr2SbO6 (PBE)

Data for a relaxed structure of NaSr2SbO6.

```
NaSr2SbO6
1.0
5.911 0.000 0.000
0.000 6.111 0.000
-5.725 0.000 8.332
Na Sr Sb O
2 4 2 12
direct
0.000 0.000 0.000
0.000 0.500 0.500
0.229 0.055 0.746
0.229 0.445 0.246
0.771 0.555 0.754
0.771 0.945 0.254
0.500 0.000 0.500
0.500 0.500 0.000
0.183 0.184 0.456
0.183 0.316 0.956
0.262 0.734 0.439
0.262 0.766 0.939
0.376 0.042 0.273
0.376 0.458 0.773
0.624 0.542 0.227
0.624 0.958 0.727
0.738 0.234 0.061
0.738 0.266 0.561
0.817 0.684 0.044
0.817 0.816 0.544
```

Electronic total energy: -5.7172 eV/atom
Calculated volume: 15.048 Å³ per atom
Symmetry: P2_1/c, No. 14

***

## NaSrSb2O (PBE)

Data for a relaxed structure of NaSrSb2O.

```
NaSrSb2O
1.0
4.989 0.000 0.000
0.000 4.989 0.000
0.000 0.000 4.740
Na Sr Sb O
1 1 2 1
direct
0.000 0.000 0.000
0.500 0.500 0.000
0.000 0.500 0.500
0.500 0.000 0.500
0.000 0.000 0.500
```

Electronic total energy: -3.9595 eV/atom
Calculated volume: 23.591 Å³ per atom
Symmetry: P4/mmm, No. 123

***

## NaSr3Sb2O (PBE)

Data for a relaxed structure of NaSr3Sb2O.

```
NaSr3Sb2O
1.0
4.809 0.000 0.000
0.000 5.011 0.000
0.000 0.000 17.021
Na Sr Sb O
2 6 4 2
direct
0.000 0.000 0.000
0.500 0.500 0.500
0.000 0.000 0.500
0.000 0.500 0.344
0.000 0.500 0.656
0.500 0.000 0.156
0.500 0.000 0.844
0.500 0.500 0.000
0.000 0.500 0.142
0.000 0.500 0.858
0.500 0.000 0.358
0.500 0.000 0.642
0.000 0.500 0.500
0.500 0.000 0.000
```

Electronic total energy: -4.1187 eV/atom
Calculated volume: 29.299 Å³ per atom
Symmetry: Immm, No. 71

***

## Na2SrSbO4 (PBE)

Data for a relaxed structure of Na2SrSbO4.

```
Na2SrSbO4
1.0
-3.426 3.513 4.969
3.426 -3.513 4.969
3.426 3.513 -4.969
Na Sr Sb O
4 2 2 8
direct
0.000 0.000 0.000
0.500 0.000 0.000
0.500 0.000 0.500
0.500 0.500 0.500
0.000 0.500 0.500
0.500 0.500 0.000
0.000 0.000 0.500
0.000 0.500 0.000
0.208 0.249 0.959
0.210 0.751 0.459
0.213 0.214 0.501
0.213 0.712 0.999
0.787 0.288 0.001
0.787 0.786 0.499
0.790 0.249 0.541
0.792 0.751 0.041
```

Electronic total energy: -5.2757 eV/atom
Calculated volume: 14.953 Å³ per atom
Symmetry: Imma, No. 74

***

## NaTaSb2O6 (PBE)

Data for a relaxed structure of NaTaSb2O6.

```
NaTaSb2O6
1.0
5.740 0.000 0.000
-2.235 5.396 0.000
-2.595 -1.860 5.308
Na Ta Sb O
1 1 2 6
direct
0.000 0.000 0.000
0.092 0.573 0.519
0.413 0.166 0.691
0.502 0.690 0.292
0.104 0.890 0.360
0.111 0.415 0.230
0.153 0.334 0.698
0.229 0.873 0.811
0.553 0.801 0.634
0.675 0.443 0.368
```

Electronic total energy: -7.0272 eV/atom
Calculated volume: 16.441 Å³ per atom
Symmetry: P1, No. 1